# PBE-GGA PrBeSi2Pt, optimized geometry
data_PrBeSi2Pt
_symmetry_space_group_name_H-M 'I -4 m 2'
_symmetry_Int_Tables_number 119
_symmetry_space_group_name_Hall 'I -4 -2'
_cell_length_a 4.064
_cell_length_b 4.064
_cell_length_c 10.244
_cell_angle_alpha 90.00
_cell_angle_beta 90.00
_cell_angle_gamma 90.00
loop_
_atom_site_label
_atom_site_type_symbol
_atom_site_fract_x
_atom_site_fract_y
_atom_site_fract_z
Pr1 Pr 0.000 0.000 0.000
Be1 Be 0.000 0.500 0.250
Si1 Si 0.000 0.000 0.380
Pt1 Pt 0.000 0.500 0.750
# - Density: 7.9 Mg/m³
# - Magnetic moment: 0.00 μB per cell
# - Final energy: -5.870 eV per atom

***

# PBE-GGA BaGdCu, optimized geometry
data_BaGdCu
_symmetry_space_group_name_H-M 'I 4 m m'
_symmetry_Int_Tables_number 107
_symmetry_space_group_name_Hall 'I 4 -2'
_cell_length_a 3.758
_cell_length_b 3.758
_cell_length_c 13.619
_cell_angle_alpha 90.00
_cell_angle_beta 90.00
_cell_angle_gamma 90.00
loop_
_atom_site_label
_atom_site_type_symbol
_atom_site_fract_x
_atom_site_fract_y
_atom_site_fract_z
Ba1 Ba 0.000 0.000 0.000
Gd1 Gd 0.000 0.000 0.261
Cu1 Cu 0.000 0.000 0.667
# - Energy of formation: 0.080 eV per formula unit
# - Density: 6.2 Mg/m³
# - Magnetic moment: 14.76 μB per cell

***

# PBE-GGA NbInPd14, optimized geometry
data_NbInPd14
_symmetry_space_group_name_H-M 'P 4/m m m'
_symmetry_Int_Tables_number 123
_symmetry_space_group_name_Hall '-P 4 2'
_cell_length_a 5.696
_cell_length_b 5.696
_cell_length_c 7.769
_cell_angle_alpha 90.00
_cell_angle_beta 90.00
_cell_angle_gamma 90.00
loop_
_atom_site_label
_atom_site_type_symbol
_atom_site_fract_x
_atom_site_fract_y
_atom_site_fract_z
Nb1 Nb 0.000 0.000 0.000
In1 In 0.500 0.500 0.000
Pd1 Pd 0.000 0.000 0.500
Pd2 Pd 0.000 0.500 0.000
Pd3 Pd 0.000 0.500 0.500
Pd4 Pd 0.246 0.246 0.247
Pd5 Pd 0.500 0.500 0.500
# - Energy of formation: -3.665 eV per formula unit
# - Density: 11.2 Mg/m³
# - Magnetic moment: 0.00 μB per cell

***

# PBE-GGA HfGeSCl2, optimized geometry
data_HfGeSCl2
_symmetry_space_group_name_H-M 'P 4/m m m'
_symmetry_Int_Tables_number 123
_symmetry_space_group_name_Hall '-P 4 2'
_cell_length_a 4.839
_cell_length_b 4.839
_cell_length_c 5.124
_cell_angle_alpha 90.00
_cell_angle_beta 90.00
_cell_angle_gamma 90.00
loop_
_atom_site_label
_atom_site_type_symbol
_atom_site_fract_x
_atom_site_fract_y
_atom_site_fract_z
Hf1 Hf 0.000 0.000 0.000
Ge1 Ge 0.500 0.500 0.500
S1 S 0.500 0.500 0.000
Cl1 Cl 0.000 0.500 0.500
# - Density: 4.9 Mg/m³
# - Magnetic moment: 2.01 μB per cell
# - Final energy: -4.223 eV per atom

***

# PBE-GGA LiMnPt4, optimized geometry
data_LiMnPt4
_symmetry_space_group_name_H-M 'F -4 3 m'
_symmetry_Int_Tables_number 216
_symmetry_space_group_name_Hall 'F -4 2 3'
_cell_length_a 7.434
_cell_length_b 7.434
_cell_length_c 7.434
_cell_angle_alpha 90.00
_cell_angle_beta 90.00
_cell_angle_gamma 90.00
loop_
_atom_site_label
_atom_site_type_symbol
_atom_site_fract_x
_atom_site_fract_y
_atom_site_fract_z
Li1 Li 0.000 0.000 0.000
Mn1 Mn 0.250 0.250 0.750
Pt1 Pt 0.125 0.125 0.375
# - Energy of formation: -1.549 eV per formula unit
# - Density: 13.6 Mg/m³
# - Magnetic moment: 19.00 μB per cell

***

# PBE-GGA La2TlAg, optimized geometry
data_La2TlAg
_symmetry_space_group_name_H-M 'P m m 2'
_symmetry_Int_Tables_number 25
_symmetry_space_group_name_Hall 'P 2 -2'
_cell_length_a 3.800
_cell_length_b 5.476
_cell_length_c 5.688
_cell_angle_alpha 90.00
_cell_angle_beta 90.00
_cell_angle_gamma 90.00
loop_
_atom_site_label
_atom_site_type_symbol
_atom_site_fract_x
_atom_site_fract_y
_atom_site_fract_z
La1 La 0.000 0.000 0.000
La2 La 0.000 0.500 0.436
Tl1 Tl 0.500 0.500 0.920
Ag1 Ag 0.500 0.000 0.519
# - Energy of formation: -1.282 eV per formula unit
# - Density: 8.3 Mg/m³
# - Magnetic moment: 0.39 μB per cell

***

# PBE-GGA TmTaIn, optimized geometry
data_TmTaIn
_symmetry_space_group_name_H-M 'P 4/n m m'
_symmetry_Int_Tables_number 129
_cell_length_a 4.192
_cell_length_b 4.192
_cell_length_c 8.082
_cell_angle_alpha 90.00
_cell_angle_beta 90.00
_cell_angle_gamma 90.00
loop_
_symmetry_equiv_pos_as_xyz
'x,y,z'
'-x,-y,-z'
'-y+1/2,x,z'
'y+1/2,-x,-z'
'-x+1/2,-y+1/2,z'
'x+1/2,y+1/2,-z'
'y,-x+1/2,z'
'-y,x+1/2,-z'
'x+1/2,-y,-z'
'-x+1/2,y,z'
'-y,-x,-z'
'y,x,z'
'-x,y+1/2,-z'
'x,-y+1/2,z'
'y+1/2,x+1/2,-z'
'-y+1/2,-x+1/2,z'
loop_
_atom_site_label
_atom_site_type_symbol
_atom_site_fract_x
_atom_site_fract_y
_atom_site_fract_z
Tm1 Tm 0.250 0.250 0.167
Ta1 Ta 0.250 0.750 0.500
In1 In 0.250 0.250 0.763
# - Energy of formation: -0.305 eV per formula unit
# - Density: 10.9 Mg/m³
# - Magnetic moment: 0.00 μB per cell

***

# PBE-GGA BeAsCl, optimized geometry
data_BeAsCl
_symmetry_space_group_name_H-M 'I 4 m m'
_symmetry_Int_Tables_number 107
_symmetry_space_group_name_Hall 'I 4 -2'
_cell_length_a 2.885
_cell_length_b 2.885
_cell_length_c 14.540
_cell_angle_alpha 90.00
_cell_angle_beta 90.00
_cell_angle_gamma 90.00
loop_
_atom_site_label
_atom_site_type_symbol
_atom_site_fract_x
_atom_site_fract_y
_atom_site_fract_z
Be1 Be 0.000 0.000 0.000
As1 As 0.000 0.000 0.624
Cl1 Cl 0.000 0.000 0.408
# - Density: 3.3 Mg/m³
# - Magnetic moment: 0.00 μB per cell
# - Final energy: -3.310 eV per atom

***

# PBE-GGA YbMgS3, optimized geometry
data_YbMgS3
_symmetry_space_group_name_H-M 'R -3'
_symmetry_Int_Tables_number 148
_symmetry_space_group_name_Hall '-R 3'
_cell_length_a 6.7055
_cell_length_b 6.7055
_cell_length_c 17.5458
_cell_angle_alpha 90.00
_cell_angle_beta 90.00
_cell_angle_gamma 120.00
loop_
_atom_site_label
_atom_site_type_symbol
_atom_site_fract_x
_atom_site_fract_y
_atom_site_fract_z
Yb1 Yb 0.0000 0.0000 0.1529
Mg1 Mg 0.0000 0.0000 0.3491
S1 S 0.0068 0.6956 0.2541
# - Density: 4.3 Mg/m³
# - Magnetic moment: 0.00 μB per cell
# - Final energy: -4.207 eV per atom

***

# PBE-GGA RbLi2MgV, optimized geometry
data_RbLi2MgV
_symmetry_space_group_name_H-M 'P 4/m m m'
_symmetry_Int_Tables_number 123
_symmetry_space_group_name_Hall '-P 4 2'
_cell_length_a 5.517
_cell_length_b 5.517
_cell_length_c 5.584
_cell_angle_alpha 90.00
_cell_angle_beta 90.00
_cell_angle_gamma 90.00
loop_
_atom_site_label
_atom_site_type_symbol
_atom_site_fract_x
_atom_site_fract_y
_atom_site_fract_z
Rb1 Rb 0.000 0.000 0.000
Li1 Li 0.000 0.500 0.500
Mg1 Mg 0.500 0.500 0.000
V1 V 0.500 0.500 0.500
# - Energy of formation: 3.580 eV per formula unit
# - Density: 1.7 Mg/m³
# - Magnetic moment: 5.42 μB per cell

***

# PBE-GGA La2Pm6Dy5, optimized geometry
data_La2Pm6Dy5
_symmetry_space_group_name_H-M 'P b a m'
_symmetry_Int_Tables_number 55
_symmetry_space_group_name_Hall '-P 2 2ab'
_cell_length_a 11.881
_cell_length_b 20.569
_cell_length_c 3.655
_cell_angle_alpha 90.00
_cell_angle_beta 90.00
_cell_angle_gamma 90.00
loop_
_atom_site_label
_atom_site_type_symbol
_atom_site_fract_x
_atom_site_fract_y
_atom_site_fract_z
La1 La 0.168 0.218 0.000
Pm1 Pm 0.060 0.924 0.000
Pm2 Pm 0.079 0.636 0.000
Pm3 Pm 0.179 0.376 0.500
Dy1 Dy 0.000 0.500 0.500
Dy2 Dy 0.093 0.780 0.500
Dy3 Dy 0.200 0.055 0.500
# - Energy of formation: 1.289 eV per formula unit
# - Density: 7.3 Mg/m³
# - Magnetic moment: 0.00 μB per cell